w.
YTaCl2 | GGA-PBEsol | relaxed

CIF file:
```
data_YTaCl2
_chemical_formula_sum 'Y2 Ta2 Cl4'
_space_group_name_H-M_alt 'I m m m'
_space_group_IT_number 71
_space_group_name_Hall '-I 2 2'
_cell_length_a 3.069
_cell_length_b 5.811
_cell_length_c 8.881
_cell_angle_alpha 90.00
_cell_angle_beta 90.00
_cell_angle_gamma 90.00
loop_
_atom_site_label
_atom_site_fract_x
_atom_site_fract_y
_atom_site_fract_z
Y1 0.000 0.000 0.000
Ta1 0.000 0.000 0.500
Cl1 0.000 0.500 0.227
```

***

x.
YTaCl2 | GGA-PBEsol | relaxed

CIF file:
```
data_YTaCl2
_chemical_formula_sum 'Y1 Ta1 Cl2'
_space_group_name_H-M_alt 'P 1 2/m 1'
_space_group_IT_number 10
_cell_length_a 3.132
_cell_length_b 4.161
_cell_length_c 5.787
_cell_angle_alpha 90.00
_cell_angle_beta 90.22
_cell_angle_gamma 90.00
loop_
_space_group_symop_operation_xyz
'x,y,z'
'-x,-y,-z'
'-x,y,-z'
'x,-y,z'
loop_
_atom_site_label
_atom_site_fract_x
_atom_site_fract_y
_atom_site_fract_z
Y1 0.000 0.000 0.000
Ta1 0.500 0.000 0.500
Cl1 0.498 0.500 0.255
```

***

y.
YTaCl2 | GGA-PBEsol | relaxed

CIF file:
```
data_YTaCl2
_chemical_formula_sum 'Y1 Ta1 Cl2'
_space_group_name_H-M_alt 'P m m m'
_space_group_IT_number 47
_cell_length_a 3.019
_cell_length_b 4.404
_cell_length_c 5.980
_cell_angle_alpha 90.00
_cell_angle_beta 90.00
_cell_angle_gamma 90.00
loop_
_space_group_symop_operation_xyz
'x,y,z'
'-x,-y,-z'
'-x,-y,z'
'x,y,-z'
'x,-y,-z'
'-x,y,z'
'-x,y,-z'
'x,-y,z'
loop_
_atom_site_label
_atom_site_fract_x
_atom_site_fract_y
_atom_site_fract_z
Y1 0.000 0.000 0.000
Ta1 0.500 0.000 0.500
Cl1 0.000 0.500 0.500
Cl2 0.500 0.500 0.000
```

***

Which of them is most stable? Easy: x.

***

w.
YTaCl2 | GGA-PBEsol | relaxed

CIF file:
```
data_YTaCl2
_chemical_formula_sum 'Y1 Ta1 Cl2'
_space_group_name_H-M_alt 'P 4 m m'
_space_group_IT_number 99
_cell_length_a 3.152
_cell_length_b 3.152
_cell_length_c 8.530
_cell_angle_alpha 90.00
_cell_angle_beta 90.00
_cell_angle_gamma 90.00
loop_
_space_group_symop_operation_xyz
'x,y,z'
'-y,x,z'
'-x,-y,z'
'y,-x,z'
'-x,y,z'
'y,x,z'
'x,-y,z'
'-y,-x,z'
loop_
_atom_site_label
_atom_site_fract_x
_atom_site_fract_y
_atom_site_fract_z
Y1 0.000 0.000 0.000
Ta1 0.500 0.500 0.723
Cl1 0.000 0.000 0.556
Cl2 0.500 0.500 0.202
```

***

x.
YTaCl2 | GGA-PBEsol | relaxed

CIF file:
```
data_YTaCl2
_chemical_formula_sum 'Y1 Ta1 Cl2'
_space_group_name_H-M_alt 'P 4/m m m'
_space_group_IT_number 123
_space_group_name_Hall '-P 4 2'
_cell_length_a 4.698
_cell_length_b 4.698
_cell_length_c 3.170
_cell_angle_alpha 90.00
_cell_angle_beta 90.00
_cell_angle_gamma 90.00
loop_
_atom_site_label
_atom_site_fract_x
_atom_site_fract_y
_atom_site_fract_z
Y1 0.000 0.000 0.000
Ta1 0.500 0.500 0.000
Cl1 0.000 0.500 0.500
```

***

Which of them is most stable? Easy: w.

***

w.
TaZnCl2 | GGA-PBEsol | relaxed

CIF file:
```
data_TaZnCl2
_chemical_formula_sum 'Ta1 Zn1 Cl2'
_space_group_name_H-M_alt 'P 4/m m m'
_space_group_IT_number 123
_space_group_name_Hall '-P 4 2'
_cell_length_a 2.981
_cell_length_b 2.981
_cell_length_c 8.826
_cell_angle_alpha 90.00
_cell_angle_beta 90.00
_cell_angle_gamma 90.00
loop_
_atom_site_label
_atom_site_fract_x
_atom_site_fract_y
_atom_site_fract_z
Ta1 0.000 0.000 0.000
Zn1 0.000 0.000 0.500
Cl1 0.500 0.500 0.172
```

***

x.
TaZnCl2 | GGA-PBEsol | relaxed

CIF file:
```
data_TaZnCl2
_chemical_formula_sum 'Ta1 Zn1 Cl2'
_space_group_name_H-M_alt 'P 4 m m'
_space_group_IT_number 99
_cell_length_a 3.040
_cell_length_b 3.040
_cell_length_c 7.767
_cell_angle_alpha 90.00
_cell_angle_beta 90.00
_cell_angle_gamma 90.00
loop_
_space_group_symop_operation_xyz
'x,y,z'
'-y,x,z'
'-x,-y,z'
'y,-x,z'
'-x,y,z'
'y,x,z'
'x,-y,z'
'-y,-x,z'
loop_
_atom_site_label
_atom_site_fract_x
_atom_site_fract_y
_atom_site_fract_z
Ta1 0.000 0.000 0.000
Zn1 0.500 0.500 0.243
Cl1 0.000 0.000 0.437
Cl2 0.500 0.500 0.809
```

***

Which of them is most stable? Easy: x.

***

w.
TcTeCl | GGA-PBEsol | relaxed

CIF file:
```
data_TcTeCl
_chemical_formula_sum 'Tc1 Te1 Cl1'
_space_group_name_H-M_alt 'P 3 m 1'
_space_group_IT_number 156
_cell_length_a 3.2985
_cell_length_b 3.2985
_cell_length_c 6.9835
_cell_angle_alpha 90.00
_cell_angle_beta 90.00
_cell_angle_gamma 120.00
loop_
_space_group_symop_operation_xyz
'x,y,z'
'-y,x-y,z'
'-x+y,-x,z'
'-y,-x,z'
'-x+y,y,z'
'x,x-y,z'
loop_
_atom_site_label
_atom_site_fract_x
_atom_site_fract_y
_atom_site_fract_z
Tc1 0.0000 0.0000 0.0000
Te1 0.6667 0.3333 0.7445
Cl1 0.3333 0.6667 0.2486
```

***

x.
TcTeCl | GGA-PBEsol | relaxed

CIF file:
```
data_TcTeCl
_chemical_formula_sum 'Tc4 Te4 Cl4'
_space_group_name_H-M_alt 'F -4 3 m'
_space_group_IT_number 216
_space_group_name_Hall 'F -4 2 3'
_cell_length_a 6.507
_cell_length_b 6.507
_cell_length_c 6.507
_cell_angle_alpha 90.00
_cell_angle_beta 90.00
_cell_angle_gamma 90.00
loop_
_atom_site_label
_atom_site_fract_x
_atom_site_fract_y
_atom_site_fract_z
Tc1 0.000 0.000 0.000
Te1 0.250 0.250 0.250
Cl1 0.000 0.000 0.500
```

***

Which of them is most stable? Easy: w.

***

w.
TiTcCl3 | GGA-PBEsol | relaxed

CIF file:
```
data_TiTcCl3
_chemical_formula_sum 'Ti1 Tc1 Cl3'
_space_group_name_H-M_alt 'P m -3 m'
_space_group_IT_number 221
_space_group_name_Hall '-P 4 2 3'
_cell_length_a 4.714
_cell_length_b 4.714
_cell_length_c 4.714
_cell_angle_alpha 90.00
_cell_angle_beta 90.00
_cell_angle_gamma 90.00
loop_
_atom_site_label
_atom_site_fract_x
_atom_site_fract_y
_atom_site_fract_z
Ti1 0.000 0.000 0.000
Tc1 0.500 0.500 0.500
Cl1 0.000 0.500 0.500
```

***

x.
TiTcCl3 | GGA-PBEsol | relaxed

CIF file:
```
data_TiTcCl3
_chemical_formula_sum 'Ti1 Tc1 Cl3'
_space_group_name_H-M_alt 'P m -3 m'
_space_group_IT_number 221
_space_group_name_Hall '-P 4 2 3'
_cell_length_a 4.776
_cell_length_b 4.776
_cell_length_c 4.776
_cell_angle_alpha 90.00
_cell_angle_beta 90.00
_cell_angle_gamma 90.00
loop_
_atom_site_label
_atom_site_fract_x
_atom_site_fract_y
_atom_site_fract_z
Ti1 0.000 0.000 0.000
Tc1 0.500 0.500 0.500
Cl1 0.000 0.000 0.500
```

***

Which of them is most stable? Easy: x.

***

w.
TlTc2Cl | GGA-PBEsol | relaxed

CIF file:
```
data_TlTc2Cl
_chemical_formula_sum 'Tl2 Tc4 Cl2'
_space_group_name_H-M_alt 'I m m m'
_space_group_IT_number 71
_space_group_name_Hall '-I 2 2'
_cell_length_a 2.892
_cell_length_b 5.074
_cell_length_c 8.827
_cell_angle_alpha 90.00
_cell_angle_beta 90.00
_cell_angle_gamma 90.00
loop_
_atom_site_label
_atom_site_fract_x
_atom_site_fract_y
_atom_site_fract_z
Tl1 0.000 0.000 0.000
Tc1 0.000 0.500 0.222
Cl1 0.000 0.000 0.500
```

***

x.
TlTc2Cl | GGA-PBEsol | relaxed

CIF file:
```
data_TlTc2Cl
_chemical_formula_sum 'Tl2 Tc4 Cl2'
_space_group_name_H-M_alt 'A m m 2'
_space_group_IT_number 38
_cell_length_a 2.965
_cell_length_b 3.013
_cell_length_c 16.173
_cell_angle_alpha 90.00
_cell_angle_beta 90.00
_cell_angle_gamma 90.00
loop_
_space_group_symop_operation_xyz
'x,y,z'
'-x,-y,z'
'-x,y,z'
'x,-y,z'
'x,y+1/2,z+1/2'
'-x,-y+1/2,z+1/2'
'-x,y+1/2,z+1/2'
'x,-y+1/2,z+1/2'
loop_
_atom_site_label
_atom_site_fract_x
_atom_site_fract_y
_atom_site_fract_z
Tl1 0.000 0.000 0.000
Tc1 0.000 0.000 0.781
Tc2 0.500 0.000 0.369
Cl1 0.500 0.000 0.662
```

***

Which of them is most stable? Easy: x.

***

w.
Tl2TcCl | GGA-PBEsol | relaxed

CIF file:
```
data_Tl2TcCl
_chemical_formula_sum 'Tl2 Tc1 Cl1'
_space_group_name_H-M_alt 'P 1 2/m 1'
_space_group_IT_number 10
_cell_length_a 3.287
_cell_length_b 3.275
_cell_length_c 7.979
_cell_angle_alpha 90.00
_cell_angle_beta 90.13
_cell_angle_gamma 90.00
loop_
_space_group_symop_operation_xyz
'x,y,z'
'-x,-y,-z'
'-x,y,-z'
'x,-y,z'
loop_
_atom_site_label
_atom_site_fract_x
_atom_site_fract_y
_atom_site_fract_z
Tl1 0.001 0.000 0.206
Tc1 0.500 0.500 0.000
Cl1 0.000 0.500 0.500
```

***

x.
Tl2TcCl | GGA-PBEsol | relaxed

CIF file:
```
data_Tl2TcCl
_chemical_formula_sum 'Tl2 Tc1 Cl1'
_space_group_name_H-M_alt 'P 4/m m m'
_space_group_IT_number 123
_space_group_name_Hall '-P 4 2'
_cell_length_a 5.159
_cell_length_b 5.159
_cell_length_c 3.084
_cell_angle_alpha 90.00
_cell_angle_beta 90.00
_cell_angle_gamma 90.00
loop_
_atom_site_label
_atom_site_fract_x
_atom_site_fract_y
_atom_site_fract_z
Tl1 0.000 0.500 0.000
Tc1 0.000 0.000 0.500
Cl1 0.500 0.500 0.500
```

***

Which of them is most stable? Easy: w.

***

w.
TcWCl2 | GGA-PBEsol | relaxed

CIF file:
```
data_TcWCl2
_chemical_formula_sum 'Tc2 W2 Cl4'
_space_group_name_H-M_alt 'I m m m'
_space_group_IT_number 71
_space_group_name_Hall '-I 2 2'
_cell_length_a 2.958
_cell_length_b 4.283
_cell_length_c 13.166
_cell_angle_alpha 90.00
_cell_angle_beta 90.00
_cell_angle_gamma 90.00
loop_
_atom_site_label
_atom_site_fract_x
_atom_site_fract_y
_atom_site_fract_z
Tc1 0.000 0.000 0.000
W1 0.000 0.000 0.500
Cl1 0.000 0.500 0.150
```

***

x.
TcWCl2 | GGA-PBEsol | relaxed

CIF file:
```
data_TcWCl2
_chemical_formula_sum 'Tc2 W2 Cl4'
_space_group_name_H-M_alt 'I 4/m m m'
_space_group_IT_number 139
_space_group_name_Hall '-I 4 2'
_cell_length_a 4.259
_cell_length_b 4.259
_cell_length_c 6.065
_cell_angle_alpha 90.00
_cell_angle_beta 90.00
_cell_angle_gamma 90.00
loop_
_atom_site_label
_atom_site_fract_x
_atom_site_fract_y
_atom_site_fract_z
Tc1 0.000 0.000 0.000
W1 0.000 0.000 0.500
Cl1 0.000 0.500 0.250
```

***

y.
TcWCl2 | GGA-PBEsol | relaxed

CIF file:
```
data_TcWCl2
_chemical_formula_sum 'Tc1 W1 Cl2'
_space_group_name_H-M_alt 'P m m 2'
_space_group_IT_number 25
_cell_length_a 2.949
_cell_length_b 3.837
_cell_length_c 5.905
_cell_angle_alpha 90.00
_cell_angle_beta 90.00
_cell_angle_gamma 90.00
loop_
_space_group_symop_operation_xyz
'x,y,z'
'-x,-y,z'
'-x,y,z'
'x,-y,z'
loop_
_atom_site_label
_atom_site_fract_x
_atom_site_fract_y
_atom_site_fract_z
Tc1 0.000 0.000 0.000
W1 0.500 0.500 0.189
Cl1 0.000 0.000 0.397
Cl2 0.500 0.500 0.787
```

***

z.
TcWCl2 | GGA-PBEsol | relaxed

CIF file:
```
data_TcWCl2
_chemical_formula_sum 'Tc1 W1 Cl2'
_space_group_name_H-M_alt 'P 1 2/m 1'
_space_group_IT_number 10
_cell_length_a 2.774
_cell_length_b 4.258
_cell_length_c 5.423
_cell_angle_alpha 90.00
_cell_angle_beta 102.99
_cell_angle_gamma 90.00
loop_
_space_group_symop_operation_xyz
'x,y,z'
'-x,-y,-z'
'-x,y,-z'
'x,-y,z'
loop_
_atom_site_label
_atom_site_fract_x
_atom_site_fract_y
_atom_site_fract_z
Tc1 0.000 0.000 0.000
W1 0.500 0.000 0.500
Cl1 0.256 0.500 0.251
```

***

Which of them is most stable? Easy: y.